VASP calculation (PBE) on an optimized crystal structure of Na4I.

extended XYZ file:
```
5
Lattice="6.1899 0.0000 0.0000 0.0000 6.1899 0.0000 0.0000 0.0000 6.1899" Properties=species:S:1:pos:R:3 pbc="T T T"
I 3.0949 3.0949 3.0949
Na 0.0000 0.0000 0.0000
Na 3.0949 0.0000 3.0949
Na 0.0000 3.0949 3.0949
Na 3.0949 3.0949 0.0000
```

Calculated values
Volume ... 237 Å³/f.u.
Total magnetization ... 0.00 μB/f.u.
Mass density ... 1.5 g/cm³
E_tot ... -1.64 eV/atom